Record 1
A relaxed structure of KLiGaAg2. Source: the Alexandria database, functional PBE.

Cell: 4.9196 5.3034 4.9196 Å, 90.00 90.00 90.00°
Fractional coordinates of all 5 atoms:
Li 0.0000 0.0000 0.0000
Ga 0.5000 0.5000 0.5000
Ag 0.5000 0.0000 0.0000
Ag 0.0000 0.0000 0.5000
K 0.0000 0.5000 0.0000

Results
total moment: 0.000 Bohr magnetons per cell
calculated volume: 25.67 A^3/atom
energy: -1.95 eV per atom

=====

Record 2
A relaxed structure of BeTcH2. Source: the Alexandria database, functional PBE.

Cell: 2.4934 2.4934 8.6902 Å, 81.75 81.75 60.00°
Fractional coordinates of all 4 atoms:
Tc 0.0000 0.0000 0.0000
Be 0.5000 0.5000 0.5000
H 0.1341 0.1341 0.5978
H 0.8659 0.8659 0.4022

Results
total moment: 0.000 Bohr magnetons per cell
calculated volume: 11.54 A^3/atom
energy: -4.57 eV per atom

=====

Record 3
A relaxed structure of CuHgRu4. Source: the Alexandria database, functional PBE.

Cell: 5.1485 5.1485 5.1485 Å, 60.00 60.00 60.00°
Fractional coordinates of all 6 atoms:
Hg 0.0000 0.0000 0.0000
Cu 0.2500 0.2500 0.2500
Ru 0.6247 0.6247 0.1260
Ru 0.6247 0.6247 0.6247
Ru 0.6247 0.1260 0.6247
Ru 0.1260 0.6247 0.6247

Results
total moment: 2.745 Bohr magnetons per cell
calculated volume: 16.08 A^3/atom
energy: -6.19 eV per atom

=====

Record 4
A relaxed structure of SiHCl. Source: the Alexandria database, functional PBE.

Cell: 6.6191 3.9586 10.9022 Å, 90.00 104.58 90.00°
Fractional coordinates of all 12 atoms:
Si 0.8416 0.0000 0.0795
Si 0.0420 0.0000 0.6262
Si 0.0420 0.5000 0.1262
Si 0.8416 0.5000 0.5795
Cl 0.6281 0.0000 0.1909
Cl 0.1834 0.0000 0.8200
Cl 0.6281 0.5000 0.6909
Cl 0.1834 0.5000 0.3200
H 0.2119 0.5000 0.0584
H 0.7213 0.0000 0.9437
H 0.7213 0.5000 0.4437
H 0.2119 0.0000 0.5584

Results
total moment: 0.000 Bohr magnetons per cell
calculated volume: 23.04 A^3/atom
energy: -4.01 eV per atom

=====

Record 5
A relaxed structure of YRhBr. Source: the Alexandria database, functional PBE.

Cell: 4.4780 4.4780 3.5591 Å, 90.00 90.00 120.00°
Fractional coordinates of all 3 atoms:
Br 0.0000 0.0000 0.1664
Y 0.6667 0.3333 0.6666
Rh 0.3333 0.6667 0.1669

Results
total moment: 0.000 Bohr magnetons per cell
calculated volume: 20.60 A^3/atom
energy: -5.74 eV per atom
formation energy from raw total energies: -578 meV per atom

=====

Record 6
A relaxed structure of LaNd2Ga4. Source: the Alexandria database, functional PBE.

Cell: 4.2508 4.4656 9.9203 Å, 103.01 102.37 90.00°
Fractional coordinates of all 7 atoms:
Ga 0.9334 0.4334 0.8668
Ga 0.0666 0.5666 0.1332
Ga 0.3565 0.3565 0.7131
Ga 0.6435 0.6435 0.2869
Nd 0.8158 0.8158 0.6315
Nd 0.1842 0.1842 0.3685
La 0.5000 0.0000 0.0000

Results
total moment: 0.000 Bohr magnetons per cell
calculated volume: 25.57 A^3/atom
energy: -4.44 eV per atom

=====

Record 7
A relaxed structure of Ho4TmPu. Source: the Alexandria database, functional PBE.

Cell: 10.0905 10.0905 6.4672 Å, 78.96 78.96 140.24°
Fractional coordinates of all 12 atoms:
Ho 0.1101 0.3641 0.2746
Ho 0.6953 0.7978 0.7535
Ho 0.3641 0.1101 0.7746
Ho 0.7978 0.6953 0.2535
Ho 0.2022 0.3047 0.7465
Ho 0.6359 0.8899 0.2254
Ho 0.3047 0.2022 0.2465
Ho 0.8899 0.6359 0.7254
Pu 0.2286 0.7714 0.2500
Pu 0.7714 0.2286 0.7500
Tm 0.2819 0.7181 0.7500
Tm 0.7181 0.2819 0.2500

Results
total moment: 0.025 Bohr magnetons per cell
calculated volume: 29.00 A^3/atom
energy: -5.76 eV per atom

=====

Record 8
A relaxed structure of Tc2Ir. Source: the Alexandria database, functional PBE.

Cell: 12.2554 12.2554 12.2554 Å, 167.20 167.20 18.14°
Fractional coordinates of all 6 atoms:
Tc 0.5797 0.5797 0.0000
Tc 0.3297 0.8297 0.5000
Tc 0.4203 0.4203 0.0000
Tc 0.1703 0.6703 0.5000
Ir 0.0000 0.0000 0.0000
Ir 0.7500 0.2500 0.5000

Results
total moment: 0.000 Bohr magnetons per cell
calculated volume: 15.05 A^3/atom
energy: -9.71 eV per atom

=====

Record 9
A relaxed structure of ZnP. Source: the Alexandria database, functional PBE.

Cell: 5.5011 5.5011 4.9191 Å, 90.00 90.00 153.41°
Fractional coordinates of all 4 atoms:
P 0.8991 0.1009 0.5000
P 0.1009 0.8991 0.5000
Zn 0.6341 0.3659 0.0000
Zn 0.3659 0.6341 0.0000

Results
total moment: 0.000 Bohr magnetons per cell
calculated volume: 16.66 A^3/atom
energy: -3.15 eV per atom

=====

Record 10
A relaxed structure of Ba2MgI2O2. Source: the Alexandria database, functional PBE.

Cell: 4.3388 4.3388 11.0565 Å, 101.32 101.32 90.00°
Fractional coordinates of all 7 atoms:
I 0.8367 0.8367 0.6734
I 0.1633 0.1633 0.3266
Ba 0.4171 0.4171 0.8342
Ba 0.5829 0.5829 0.1658
O 0.5000 0.0000 0.0000
O 0.0000 0.5000 0.0000
Mg 0.0000 0.0000 0.0000

Results
total moment: 0.000 Bohr magnetons per cell
calculated volume: 28.57 A^3/atom
energy: -4.82 eV per atom
formation energy from raw total energies: -2185 meV per atom

=====

Record 11
A relaxed structure of TmAl3Tc. Source: the Alexandria database, functional PBE.

Cell: 5.7551 7.6164 9.3640 Å, 90.00 90.00 90.00°
Fractional coordinates of all 20 atoms:
Al 0.2507 0.7496 0.9572
Al 0.7507 0.7504 0.5428
Al 0.2493 0.2496 0.4572
Al 0.0005 0.4477 0.2500
Al 0.7507 0.7504 0.9572
Al 0.2493 0.2496 0.0428
Al 0.9995 0.5523 0.7500
Al 0.7493 0.2504 0.4572
Al 0.2507 0.7496 0.5428
Al 0.5005 0.0523 0.2500
Al 0.7493 0.2504 0.0428
Al 0.4995 0.9477 0.7500
Tc 0.5000 0.0000 0.0000
Tc 0.0000 0.5000 0.5000
Tc 0.5000 0.0000 0.5000
Tc 0.0000 0.5000 0.0000
Tm 0.5008 0.6087 0.2500
Tm 0.4992 0.3913 0.7500
Tm 0.9992 0.1087 0.7500
Tm 0.0008 0.8913 0.2500

Results
total moment: 0.000 Bohr magnetons per cell
calculated volume: 20.52 A^3/atom
energy: -5.43 eV per atom

=====

Record 12
A relaxed structure of NbV2WBr. Source: the Alexandria database, functional PBE.

Cell: 4.5695 4.8467 4.5695 Å, 90.00 90.00 90.00°
Fractional coordinates of all 5 atoms:
Br 0.0000 0.5000 0.0000
V 0.0000 0.0000 0.5000
V 0.5000 0.0000 0.0000
W 0.5000 0.5000 0.5000
Nb 0.0000 0.0000 0.0000

Results
total moment: 0.000 Bohr magnetons per cell
calculated volume: 20.24 A^3/atom
energy: -6.54 eV per atom
formation energy from raw total energies: 2043 meV per atom